Here is an optimized crystal structure of YSi2BAs from Alexandria. Energies are from GGA-PBE.

Cell: 5.333 5.333 4.618 Å, 90.00 90.00 90.00°
Space group P4/mmm (No. 123)
Asymmetric unit:
1 Y 0.000 0.000 0.000 (multiplicity 1)
2 Si 0.000 0.500 0.000 (multiplicity 2)
3 B 0.000 0.000 0.500 (multiplicity 1)
4 As 0.500 0.500 0.500 (multiplicity 1)

Summary:
- uncorrected formation energy (eV per atom) = 1.67
- D(E_F) (states/eV/cell) = 4.412
- M_tot (μB per formula unit) = 0.00